1.
Entry from the Alexandria database: TlCdSn after structural relaxation (PBE).

extended XYZ file:
```
6
Lattice="0.0230 0.3540 4.5305 -4.1904 -1.7526 0.1582 3.2341 -7.6800 0.5845" Properties=species:S:1:pos:R:3 pbc="T T T"
Cd -1.0304 -0.1728 3.4361
Cd 0.0970 -8.9058 1.8372
Tl 0.1101 -3.0851 1.3820
Tl -1.0435 -5.9934 3.8912
Sn -2.3343 -2.9279 3.6615
Sn 1.4009 -6.1507 1.6117
```

2.
Entry from the Alexandria database: Tl5Cd2Sn after structural relaxation (PBE).

extended XYZ file:
```
16
Lattice="3.5831 0.0000 0.0000 -1.7915 6.2326 0.0000 0.0000 0.0000 20.8786" Properties=species:S:1:pos:R:3 pbc="T T T"
Tl 0.0000 1.0388 8.1178
Tl 1.7915 0.1864 15.6589
Tl 0.0000 1.0388 2.3214
Tl 1.7915 5.1937 18.5571
Tl 1.7915 1.6956 10.9629
Tl 0.0000 6.0462 5.2196
Tl 1.7915 5.1937 12.7607
Tl 1.7915 1.6956 20.3549
Tl 0.0000 4.5369 9.9156
Tl 0.0000 4.5369 0.5237
Sn 0.0000 2.6068 5.2196
Sn 1.7915 3.6258 15.6589
Cd 1.7915 4.0358 3.1298
Cd 1.7915 4.0358 7.3095
Cd 0.0000 2.1968 13.5691
Cd 0.0000 2.1968 17.7488
```

3.
Entry from the Alexandria database: Tl17CdSn11 after structural relaxation (PBE).

extended XYZ file:
```
29
Lattice="9.8739 -0.0821 -3.4801 -4.9420 8.5486 -3.4801 -0.0056 -0.0095 10.4527" Properties=species:S:1:pos:R:3 pbc="T T T"
Tl 5.0411 3.3491 0.2842
Tl -0.5896 5.8093 3.7873
Tl 3.3615 5.7705 -1.7843
Tl 0.0028 0.0048 0.0080
Tl 4.9284 8.4603 -3.2164
Tl 1.9703 3.3824 4.6877
Tl 3.5258 -0.0211 -1.2299
Tl 3.1772 5.4542 2.2370
Tl 8.2983 2.6019 1.6992
Tl 4.3469 2.6411 7.2437
Tl 0.4267 6.0372 0.2842
Tl -1.8300 8.5020 1.6992
Tl 6.8949 5.0415 -2.2480
Tl 0.9844 8.4845 -2.2480
Tl 5.3442 2.3527 3.7873
Tl 0.1532 5.0841 7.2437
Tl -1.7575 3.0566 -1.2299
Sn -0.0170 3.0851 1.9068
Sn -2.2101 6.9939 -1.5429
Sn 3.1179 8.4708 0.3391
Sn -3.1493 5.4332 6.2972
Sn 2.6921 1.5070 1.9068
Sn 5.8305 6.8906 0.3391
Sn 6.2796 -0.0595 6.2972
Sn 0.9326 1.6010 7.2867
Sn 7.1739 1.5274 -1.5429
Sn 2.2699 6.9339 -5.0635
Sn 4.9119 5.3948 -5.0635
Cd 1.7962 3.0835 -0.6830
```

Calculated formation energy / eV per atom: 0.0259, 0.0303, 0.0055
Final energy / eV per atom: -2.402, -2.178, -2.931